Record 1
# RbNiSe2

An optimized crystal structure of RbNiSe2 (GGA-PBE, the Alexandria database).

Lattice parameters (Å, degrees): 7.4755 7.4755 7.9519 90.00 90.00 90.00
With the nearest neighbours (Å) after each atom.
Space group I-42d (No. 122)
Symmetry-distinct sites (fractional):
Rb (0.0000, 0.0000, 0.0000)  8 Se 3.54-3.63
Ni (0.0000, 0.0000, 0.5000)  4 Se 2.30
Se (0.1208, 0.2500, 0.6250)  2 Ni 2.30

=====

Record 2
# RbNiSe2

An optimized crystal structure of RbNiSe2 (GGA-PBE, the Alexandria database).

Lattice parameters (Å, degrees): 6.0829 13.7644 6.9741 90.00 90.00 90.00
With the nearest neighbours (Å) after each atom.
Space group Cmcm (No. 63)
Symmetry-distinct sites (fractional):
Rb (0.0000, 0.1632, 0.2500)  6 Se 3.57-3.58, 2 Ni 3.78
Ni (0.0000, 0.4997, 0.2500)  4 Se 2.31-2.32
Se (0.0000, 0.3894, 0.0000)  2 Ni 2.31-2.32

=====

Number 1: E_form (uncorrected) -0.5381 eV/atom, density of states at the Fermi level 3.5 states/eV/f.u.. Number 2: E_form (uncorrected) -0.5605 eV/atom, density of states at the Fermi level 2.4 states/eV/f.u..